# 1
# Pm2SiI2 (PBE, optimized geometry)
data_Pm2SiI2
_chemical_formula_sum 'Pm8 Si4 I8'
_symmetry_space_group_name_H-M 'C m c 21'
_symmetry_Int_Tables_number 36
_symmetry_space_group_name_Hall 'C 2c -2'
_cell_length_a 4.1526
_cell_length_b 14.6735
_cell_length_c 11.2335
_cell_angle_alpha 90.00
_cell_angle_beta 90.00
_cell_angle_gamma 90.00
loop_
_atom_site_label
_atom_site_type_symbol
_atom_site_fract_x
_atom_site_fract_y
_atom_site_fract_z
Pm1 Pm 0.0000 0.0382 0.0000
Pm2 Pm 0.0000 0.2307 0.2366
Si1 Si 0.0000 0.3477 0.5843
I1 I 0.0000 0.0969 0.7312
I2 I 0.0000 0.3664 0.9283
# Relative energy among the computed polymorphs, eV/atom: 0.3331
# Formation energy without anion corrections, kJ/mol of atoms: -79.0
# Size of the total moment, μB/f.u.: 0.0

# 2
# DyY2ThP4 (PBE, optimized geometry)
data_DyY2ThP4
_chemical_formula_sum 'Dy1 Y2 Th1 P4'
_symmetry_space_group_name_H-M 'P 1 2/m 1'
_symmetry_Int_Tables_number 10
_symmetry_space_group_name_Hall '-P 2y'
_cell_length_a 7.0032
_cell_length_b 4.0544
_cell_length_c 7.0043
_cell_angle_alpha 90.00
_cell_angle_beta 109.48
_cell_angle_gamma 90.00
loop_
_atom_site_label
_atom_site_type_symbol
_atom_site_fract_x
_atom_site_fract_y
_atom_site_fract_z
Dy1 Dy 0.0000 0.0000 0.0000
Y1 Y 0.5000 0.0000 0.5000
Y2 Y 0.5000 0.5000 0.0000
Th1 Th 0.0000 0.5000 0.5000
P1 P 0.2511 0.5000 0.2479
P2 P 0.2541 0.0000 0.7545
# Formation energy from the elements, eV per atom: -1.62
# Size of the total moment, μB/f.u.: 0.0

# 3
# TaRu3N (PBE, optimized geometry)
data_TaRu3N
_chemical_formula_sum 'Ta1 Ru3 N1'
_symmetry_space_group_name_H-M 'P m -3 m'
_symmetry_Int_Tables_number 221
_symmetry_space_group_name_Hall '-P 4 2 3'
_cell_length_a 4.0533
_cell_length_b 4.0533
_cell_length_c 4.0533
_cell_angle_alpha 90.00
_cell_angle_beta 90.00
_cell_angle_gamma 90.00
loop_
_atom_site_label
_atom_site_type_symbol
_atom_site_fract_x
_atom_site_fract_y
_atom_site_fract_z
Ta1 Ta 0.0000 0.0000 0.0000
Ru1 Ru 0.0000 0.5000 0.5000
N1 N 0.5000 0.5000 0.5000
# Relative energy among the computed polymorphs, eV/atom: 0.0000
# Formation energy without anion corrections, kJ/mol of atoms: 0.9
# Size of the total moment, μB/f.u.: 0.0